No. 1
This record from Alexandria describes LiYFe after structural relaxation. The functional is PBE-GGA.

The total magnetization comes out at 0.361 μB/atom. As for the density of states at the Fermi level: 5.27 states/eV/cell. The energy of formation from the pure elements comes out at 0.035 eV per atom. The energy above the most stable polymorph in this dataset is 0.0 kJ/mol of atoms. The calculation puts the volume at 135 Å³/cell.

The space group is P-3m1 (No. 164) and the conventional cell measures 3.8997, 3.8997 and 10.2654 Å, with angles of 90.00, 90.00 and 120.00 degrees. Symmetry generates all atoms from Li at (0.3333, 0.6667, 0.0748), Y at (0.0000, 0.0000, 0.3196) and Fe at (0.3333, 0.6667, 0.4914).


No. 2
This record from Alexandria describes SrCeBiTe after structural relaxation. The functional is PBE-GGA.

The total magnetization comes out at 0.251 μB/atom. As for the density of states at the Fermi level: 23.76 states/eV/cell. Its formation energy (no corrections) is -1098 meV/atom. The calculation puts the volume at 443 Å³/cell.

The space group is R3m (No. 160, hexagonal axes) and the conventional cell measures 4.5615, 4.5615 and 24.5988 Å, with angles of 90.00, 90.00 and 120.00 degrees. Symmetry generates all atoms from Sr at (0.0000, 0.0000, 0.0000), Ce at (0.0000, 0.0000, 0.1727), Bi at (0.0000, 0.0000, 0.5821) and Te at (0.0000, 0.0000, 0.4218).


No. 3
This record from Alexandria describes MgTlOs2 after structural relaxation. The functional is PBE-GGA.

The total magnetization comes out at 0.000 μB/atom. As for the density of states at the Fermi level: 2.57 states/eV/cell. The energy of formation from the pure elements comes out at 0.664 eV per atom. The calculation puts the volume at 71 Å³/cell.

The space group is P2/m (No. 10) and the conventional cell measures 2.8814, 4.6307 and 5.2966 Å, with angles of 90.00, 90.60 and 90.00 degrees. Symmetry generates all atoms from Mg at (0.0000, 0.0000, 0.0000), Tl at (0.5000, 0.0000, 0.5000) and Os at (0.2816, 0.5000, 0.2039).